[1]
# ReAgOs2, optimized geometry, DFT PBE
data_ReAgOs2
_chemical_formula_sum 'Re2 Ag2 Os4'
_symmetry_space_group_name_H-M 'C m m m'
_symmetry_Int_Tables_number 65
_symmetry_space_group_name_Hall '-C 2 2'
_cell_length_a 2.815
_cell_length_b 4.636
_cell_length_c 9.574
_cell_angle_alpha 90.00
_cell_angle_beta 90.00
_cell_angle_gamma 90.00
loop_
_atom_site_label
_atom_site_type_symbol
_atom_site_fract_x
_atom_site_fract_y
_atom_site_fract_z
_atom_site_occupancy
Re1 Re 0.000 0.000 0.000 1
Ag1 Ag 0.000 0.000 0.500 1
Os1 Os 0.000 0.500 0.234 1
# Relative energy among the computed polymorphs, eV per atom: 0.311
# DFT formation energy, meV per atom: 576.5

=====

[2]
# ScFeAu2, optimized geometry, DFT PBE
data_ScFeAu2
_chemical_formula_sum 'Sc2 Fe2 Au4'
_symmetry_space_group_name_H-M 'C 1 m 1'
_symmetry_Int_Tables_number 8
_cell_length_a 9.413
_cell_length_b 3.236
_cell_length_c 4.738
_cell_angle_alpha 90.00
_cell_angle_beta 105.12
_cell_angle_gamma 90.00
loop_
_symmetry_equiv_pos_as_xyz
'x,y,z'
'x,-y,z'
'x+1/2,y+1/2,z'
'x+1/2,-y+1/2,z'
loop_
_atom_site_label
_atom_site_type_symbol
_atom_site_fract_x
_atom_site_fract_y
_atom_site_fract_z
_atom_site_occupancy
Sc1 Sc 0.000 0.000 0.000 1
Fe1 Fe 0.248 0.500 0.286 1
Au1 Au 0.247 0.000 0.768 1
Au2 Au 0.489 0.000 0.483 1
# DFT formation energy, meV per atom: -239.0

=====

[3]
# Ho12Er6Zr, optimized geometry, DFT PBE
data_Ho12Er6Zr
_chemical_formula_sum 'Ho36 Er18 Zr3'
_symmetry_space_group_name_H-M 'R -3 m'
_symmetry_Int_Tables_number 166
_symmetry_space_group_name_Hall '-R 3 2"'
_cell_length_a 12.9856
_cell_length_b 12.9856
_cell_length_c 12.3966
_cell_angle_alpha 90.00
_cell_angle_beta 90.00
_cell_angle_gamma 120.00
loop_
_atom_site_label
_atom_site_type_symbol
_atom_site_fract_x
_atom_site_fract_y
_atom_site_fract_z
_atom_site_occupancy
Ho1 Ho 0.0000 0.2562 0.0000 1
Ho2 Ho 0.0898 0.1795 0.7612 1
Er1 Er 0.0467 0.5234 0.1206 1
Zr1 Zr 0.0000 0.0000 0.5000 1
# Relative energy among the computed polymorphs, eV per atom: 0.081
# DFT formation energy, meV per atom: 243.6

=====

[4]
# TaCo3Si, optimized geometry, DFT PBE
data_TaCo3Si
_chemical_formula_sum 'Ta4 Co12 Si4'
_symmetry_space_group_name_H-M 'I m m a'
_symmetry_Int_Tables_number 74
_symmetry_space_group_name_Hall '-I 2b 2'
_cell_length_a 4.726
_cell_length_b 6.553
_cell_length_c 8.061
_cell_angle_alpha 90.00
_cell_angle_beta 90.00
_cell_angle_gamma 90.00
loop_
_atom_site_label
_atom_site_type_symbol
_atom_site_fract_x
_atom_site_fract_y
_atom_site_fract_z
_atom_site_occupancy
Ta1 Ta 0.000 0.250 0.003 1
Co1 Co 0.000 0.250 0.318 1
Co2 Co 0.250 0.056 0.750 1
Si1 Si 0.000 0.000 0.500 1
# Relative energy among the computed polymorphs, eV per atom: 0.000
# E_form (uncorrected), eV per atom: -0.23

=====

[5]
# BaMgN2F, optimized geometry, DFT PBE
data_BaMgN2F
_chemical_formula_sum 'Ba1 Mg1 N2 F1'
_symmetry_space_group_name_H-M 'P 4/m m m'
_symmetry_Int_Tables_number 123
_symmetry_space_group_name_Hall '-P 4 2'
_cell_length_a 4.708
_cell_length_b 4.708
_cell_length_c 4.851
_cell_angle_alpha 90.00
_cell_angle_beta 90.00
_cell_angle_gamma 90.00
loop_
_atom_site_label
_atom_site_type_symbol
_atom_site_fract_x
_atom_site_fract_y
_atom_site_fract_z
_atom_site_occupancy
Ba1 Ba 0.000 0.000 0.000 1
Mg1 Mg 0.500 0.500 0.500 1
N1 N 0.000 0.500 0.000 1
F1 F 0.000 0.000 0.500 1
# Relative energy among the computed polymorphs, eV per atom: 1.239
# E_form (uncorrected), eV per atom: 0.54

=====

[6]
# Nd2Ga3Cu4Pt, optimized geometry, DFT PBE
data_Nd2Ga3Cu4Pt
_chemical_formula_sum 'Nd2 Ga3 Cu4 Pt1'
_symmetry_space_group_name_H-M 'P -4 m 2'
_symmetry_Int_Tables_number 115
_cell_length_a 4.191
_cell_length_b 4.191
_cell_length_c 10.315
_cell_angle_alpha 90.00
_cell_angle_beta 90.00
_cell_angle_gamma 90.00
loop_
_symmetry_equiv_pos_as_xyz
'x,y,z'
'y,-x,-z'
'-x,-y,z'
'-y,x,-z'
'-x,y,z'
'-y,-x,-z'
'x,-y,z'
'y,x,-z'
loop_
_atom_site_label
_atom_site_type_symbol
_atom_site_fract_x
_atom_site_fract_y
_atom_site_fract_z
_atom_site_occupancy
Nd1 Nd 0.000 0.500 0.248 1
Ga1 Ga 0.000 0.000 0.000 1
Ga2 Ga 0.000 0.500 0.625 1
Cu1 Cu 0.000 0.000 0.500 1
Cu2 Cu 0.000 0.500 0.859 1
Cu3 Cu 0.500 0.500 0.500 1
Pt1 Pt 0.500 0.500 0.000 1
# DFT formation energy, meV per atom: -450.2

=====

[7]
# KBa, optimized geometry, DFT PBE
data_KBa
_chemical_formula_sum 'K6 Ba6'
_symmetry_space_group_name_H-M 'R -3 m'
_symmetry_Int_Tables_number 166
_symmetry_space_group_name_Hall '-R 3 2"'
_cell_length_a 7.3238
_cell_length_b 7.3238
_cell_length_c 17.9108
_cell_angle_alpha 90.00
_cell_angle_beta 90.00
_cell_angle_gamma 120.00
loop_
_atom_site_label
_atom_site_type_symbol
_atom_site_fract_x
_atom_site_fract_y
_atom_site_fract_z
_atom_site_occupancy
K1 K 0.0000 0.0000 0.1247 1
Ba1 Ba 0.0000 0.0000 0.3747 1
# DFT formation energy, meV per atom: 153.1

=====

[8]
# LaZr3Cd, optimized geometry, DFT PBE
data_LaZr3Cd
_chemical_formula_sum 'La1 Zr3 Cd1'
_symmetry_space_group_name_H-M 'P m -3 m'
_symmetry_Int_Tables_number 221
_symmetry_space_group_name_Hall '-P 4 2 3'
_cell_length_a 5.359
_cell_length_b 5.359
_cell_length_c 5.359
_cell_angle_alpha 90.00
_cell_angle_beta 90.00
_cell_angle_gamma 90.00
loop_
_atom_site_label
_atom_site_type_symbol
_atom_site_fract_x
_atom_site_fract_y
_atom_site_fract_z
_atom_site_occupancy
La1 La 0.000 0.000 0.000 1
Zr1 Zr 0.000 0.500 0.500 1
Cd1 Cd 0.500 0.500 0.500 1
# Relative energy among the computed polymorphs, eV per atom: 0.000
# DFT formation energy, meV per atom: 847.7

=====

[9]
# PmPaSi2, optimized geometry, DFT PBE
data_PmPaSi2
_chemical_formula_sum 'Pm1 Pa1 Si2'
_symmetry_space_group_name_H-M 'P 4/m m m'
_symmetry_Int_Tables_number 123
_symmetry_space_group_name_Hall '-P 4 2'
_cell_length_a 3.306
_cell_length_b 3.306
_cell_length_c 7.962
_cell_angle_alpha 90.00
_cell_angle_beta 90.00
_cell_angle_gamma 90.00
loop_
_atom_site_label
_atom_site_type_symbol
_atom_site_fract_x
_atom_site_fract_y
_atom_site_fract_z
_atom_site_occupancy
Pm1 Pm 0.000 0.000 0.000 1
Pa1 Pa 0.000 0.000 0.500 1
Si1 Si 0.500 0.500 0.259 1
# Relative energy among the computed polymorphs, eV per atom: 0.097
# E_form (uncorrected), eV per atom: -0.38

=====

[10]
# Ba2AgBi4Rh3, optimized geometry, DFT PBE
data_Ba2AgBi4Rh3
_chemical_formula_sum 'Ba2 Ag1 Bi4 Rh3'
_symmetry_space_group_name_H-M 'P -4 m 2'
_symmetry_Int_Tables_number 115
_cell_length_a 4.916
_cell_length_b 4.916
_cell_length_c 11.000
_cell_angle_alpha 90.00
_cell_angle_beta 90.00
_cell_angle_gamma 90.00
loop_
_symmetry_equiv_pos_as_xyz
'x,y,z'
'y,-x,-z'
'-x,-y,z'
'-y,x,-z'
'-x,y,z'
'-y,-x,-z'
'x,-y,z'
'y,x,-z'
loop_
_atom_site_label
_atom_site_type_symbol
_atom_site_fract_x
_atom_site_fract_y
_atom_site_fract_z
_atom_site_occupancy
Ba1 Ba 0.000 0.500 0.246 1
Ag1 Ag 0.500 0.500 0.000 1
Bi1 Bi 0.000 0.000 0.500 1
Bi2 Bi 0.000 0.500 0.868 1
Bi3 Bi 0.500 0.500 0.500 1
Rh1 Rh 0.000 0.000 0.000 1
Rh2 Rh 0.000 0.500 0.619 1
# DFT formation energy, meV per atom: -418.4

=====

[11]
# IrSe2Br, optimized geometry, DFT PBE
data_IrSe2Br
_chemical_formula_sum 'Ir4 Se8 Br4'
_symmetry_space_group_name_H-M 'C 1 m 1'
_symmetry_Int_Tables_number 8
_cell_length_a 10.552
_cell_length_b 6.649
_cell_length_c 5.725
_cell_angle_alpha 90.00
_cell_angle_beta 92.02
_cell_angle_gamma 90.00
loop_
_symmetry_equiv_pos_as_xyz
'x,y,z'
'x,-y,z'
'x+1/2,y+1/2,z'
'x+1/2,-y+1/2,z'
loop_
_atom_site_label
_atom_site_type_symbol
_atom_site_fract_x
_atom_site_fract_y
_atom_site_fract_z
_atom_site_occupancy
Ir1 Ir 0.000 0.248 0.000 1
Se1 Se 0.132 0.000 0.199 1
Se2 Se 0.156 0.500 0.857 1
Se3 Se 0.335 0.500 0.153 1
Se4 Se 0.485 0.500 0.681 1
Br1 Br 0.337 0.000 0.817 1
Br2 Br 0.491 0.000 0.338 1
# Relative energy among the computed polymorphs, eV per atom: 0.076
# E_form (uncorrected), eV per atom: -0.15

=====

[12]
# AlGaFe3, optimized geometry, DFT PBE
data_AlGaFe3
_chemical_formula_sum 'Al6 Ga6 Fe18'
_symmetry_space_group_name_H-M 'R -3 m'
_symmetry_Int_Tables_number 166
_symmetry_space_group_name_Hall '-R 3 2"'
_cell_length_a 5.0148
_cell_length_b 5.0148
_cell_length_c 18.6478
_cell_angle_alpha 90.00
_cell_angle_beta 90.00
_cell_angle_gamma 120.00
loop_
_atom_site_label
_atom_site_type_symbol
_atom_site_fract_x
_atom_site_fract_y
_atom_site_fract_z
_atom_site_occupancy
Al1 Al 0.0000 0.0000 0.1022 1
Ga1 Ga 0.0000 0.0000 0.3335 1
Fe1 Fe 0.0003 0.5001 0.1111 1
# Relative energy among the computed polymorphs, eV per atom: 0.000
# DFT formation energy, meV per atom: -145.6

=====

Record-wise mass density values, in g/cm3: 17.9; 11.8; 8.5; 10.3; 3.2; 8.7; 2.1; 5.7; 8.2; 9.5; 7.1; 6.5